Material: Cs3Mg2CdF9
Method: DFT, PBE
State: relaxed

Lattice parameters (Å, degrees): 6.127 6.127 7.524 90.00 90.00 120.00
Element x y z (fractional)
Mg 0.333 0.667 0.156
F 0.824 0.176 0.681
F 0.176 0.352 0.319
Cs 0.667 0.333 0.335
F 0.500 0.500 0.000
Cd 0.000 0.000 0.500
F 0.000 0.500 0.000
F 0.648 0.824 0.319
F 0.176 0.824 0.319
Cs 0.000 0.000 0.000
F 0.500 0.000 0.000
Mg 0.667 0.333 0.844
F 0.824 0.648 0.681
F 0.352 0.176 0.681
Cs 0.333 0.667 0.665

As for the density of states at the Fermi level: 0.0 states/eV/cell. The electronic total energy is -4.519 eV per atom. As for the space group: P-3m1 (164).